(1)
Below is a relaxed ZrMnV crystal, with properties calculated at the PBE-GGA level.

Results
The volume is 16.106 A^3/atom. Its density of states at the Fermi level is 6.6 states/eV/cell. Its space-group type is Cm, No. 8. The total energy comes out at -53.8 eV for the cell shown.

The structure in extended XYZ format:
```
6
Lattice="5.0550 -1.8455 0.0000 5.0550 1.8455 0.0000 -0.0468 0.0000 5.1794" Properties=species:S:1:pos:R:3 pbc="T T T"
Zr 0.0000 0.0000 0.0000
Zr 5.7525 0.0000 2.5811
Mn 2.8522 0.0000 1.2922
Mn 7.2592 0.0000 0.0083
V 2.8081 0.0000 3.9519
V 8.5823 0.0000 2.5378
```

---

(2)
Below is a relaxed Zr2MnV3 crystal, with properties calculated at the PBE-GGA level.

Results
The volume is 16.025 A^3/atom. Its density of states at the Fermi level is 7.9 states/eV/cell. Its space-group type is R-3m, No. 166. The total energy comes out at -54.2 eV for the cell shown.

The structure in extended XYZ format:
```
6
Lattice="2.6369 1.5224 3.9914 -2.6369 1.5224 3.9914 0.0000 -3.0449 3.9914" Properties=species:S:1:pos:R:3 pbc="T T T"
Zr 0.0000 0.0000 1.5107
Zr 0.0000 0.0000 10.4634
Mn 0.0000 0.0000 5.9871
V -1.3185 -0.7612 3.9914
V -1.3185 0.7612 7.9828
V 0.0000 1.5224 3.9914
```

---

(3)
Below is a relaxed ZrMnV2 crystal, with properties calculated at the PBE-GGA level.

Results
The volume is 14.619 A^3/atom. Its density of states at the Fermi level is 7.3 states/eV/cell. Its space-group type is Fm-3m, No. 225. The total energy comes out at -35.3 eV for the cell shown.

The structure in extended XYZ format:
```
4
Lattice="0.0000 3.0807 3.0807 3.0807 0.0000 3.0807 3.0807 3.0807 0.0000" Properties=species:S:1:pos:R:3 pbc="T T T"
Zr 0.0000 0.0000 0.0000
Mn 3.0807 3.0807 3.0807
V 1.5403 1.5403 1.5403
V 4.6210 4.6210 4.6210
```

---

(4)
Below is a relaxed ZrMnV4 crystal, with properties calculated at the PBE-GGA level.

Results
The volume is 15.138 A^3/atom. Its density of states at the Fermi level is 8.0 states/eV/cell. Its space-group type is F-43m, No. 216. The total energy comes out at -53.4 eV for the cell shown.

The structure in extended XYZ format:
```
6
Lattice="0.0000 3.5677 3.5677 3.5677 0.0000 3.5677 3.5677 3.5677 0.0000" Properties=species:S:1:pos:R:3 pbc="T T T"
Zr 0.0000 0.0000 0.0000
Mn 5.3516 5.3516 5.3516
V 2.6727 2.6727 2.6727
V 4.4628 4.4628 2.6727
V 4.4628 2.6727 4.4628
V 2.6727 4.4628 4.4628
```

---

| no. | calculated formation energy (eV/atom) |
| --- | --- |
| 1 | -0.024 |
| 2 | -0.102 |
| 3 | 0.165 |
| 4 | 0.137 |